A plane-wave DFT calculation with PBE-GGA was carried out for a relaxed structure of InAs2N.

Properties
- Uncorrected formation energy: 2.42 eV/f.u.
- DOS(E_F): 0.2 states/eV/f.u.

Unit cell a=5.343 b=5.343 c=6.991 alpha=67.54 beta=67.54 gamma=90.00
Fractional coordinates of all 8 atoms:
As: 0.528 0.125 0.250
As: 0.222 0.625 0.250
As: 0.375 0.472 0.750
As: 0.875 0.778 0.750
N: 0.500 0.500 0.000
N: 0.250 0.750 0.500
In: 0.000 0.000 0.000
In: 0.750 0.250 0.500